Entry 1:
LiPrYSn, relaxed, DFT PBE; space group = No. 216; formation enthalpy at 0 K = -449 meV per atom; total moment = 0.00 μB per formula unit; raw total energy = -75.83 eV for the cell shown
1.0
7.538 0.000 0.000
0.000 7.538 0.000
0.000 0.000 7.538
Li Pr Y Sn
4 4 4 4
Direct
0.000 0.000 0.000
0.000 0.500 0.500
0.500 0.000 0.500
0.500 0.500 0.000
0.250 0.250 0.750
0.250 0.750 0.250
0.750 0.250 0.250
0.750 0.750 0.750
0.250 0.250 0.250
0.250 0.750 0.750
0.750 0.250 0.750
0.750 0.750 0.250
0.000 0.000 0.500
0.000 0.500 0.000
0.500 0.000 0.000
0.500 0.500 0.500



Entry 2:
PaCo4C2, relaxed, DFT PBE; space group = No. 65; formation enthalpy at 0 K = -109 meV per atom; total moment = 0.00 μB per formula unit; raw total energy = -114.26 eV for the cell shown
1.0
3.497 0.000 0.000
0.000 12.507 0.000
0.000 0.000 3.539
Pa Co C
2 8 4
Direct
0.000 0.000 0.000
0.500 0.500 0.000
0.000 0.176 0.500
0.000 0.329 0.000
0.000 0.671 0.000
0.000 0.824 0.500
0.500 0.171 0.000
0.500 0.324 0.500
0.500 0.676 0.500
0.500 0.829 0.000
0.000 0.388 0.500
0.000 0.612 0.500
0.500 0.112 0.500
0.500 0.888 0.500



Entry 3:
Ho4Th3Se8, relaxed, DFT PBE; space group = No. 12; formation energy (no corrections) = -1.699 eV/atom; total moment = 0.00 μB per formula unit; raw total energy = -93.94 eV for the cell shown
1.0
5.821 -5.822 0.000
5.821 5.822 0.000
-5.819 0.000 5.826
Ho Th Se
4 3 8
Direct
0.000 0.000 0.000
0.000 0.000 0.500
0.000 0.500 0.000
0.500 0.000 0.000
0.000 0.500 0.500
0.500 0.000 0.500
0.500 0.500 0.000
0.245 0.755 0.000
0.247 0.247 0.002
0.248 0.248 0.490
0.252 0.748 0.500
0.748 0.252 0.500
0.752 0.752 0.510
0.753 0.753 0.998
0.755 0.245 0.000



Entry 4:
BaCu3O4, relaxed, DFT PBE; space group = No. 65; formation energy (no corrections) = -0.738 eV/atom; total moment = 0.00 μB per formula unit; offset from the most stable computed form = 2.92 eV per formula unit; raw total energy = -79.90 eV for the cell shown
1.0
5.660 0.000 0.000
0.000 10.962 0.000
0.000 0.000 5.324
Ba Cu O
2 6 8
Direct
0.000 0.000 0.000
0.500 0.500 0.000
0.000 0.000 0.500
0.000 0.268 0.500
0.000 0.732 0.500
0.500 0.232 0.500
0.500 0.500 0.500
0.500 0.768 0.500
0.224 0.133 0.500
0.224 0.867 0.500
0.276 0.367 0.500
0.276 0.633 0.500
0.724 0.367 0.500
0.724 0.633 0.500
0.776 0.133 0.500
0.776 0.867 0.500